The following is a GGA-PBE calculation of DySi6Pd12 after structural relaxation, from Alexandria via LeMat-Bulk.

a = 7.0826 Å, b = 7.0826 Å, c = 7.0826 Å
α = 105.69°, β = 105.69°, γ = 105.69°
Closest atoms and distances in Å follow each position.
Fractional positions:
1 Dy 0.0000 0.0000 0.0000  6 Pd 3.31, 6 Si 3.69
2 Si 0.2529 0.2529 0.6923  7 Pd 2.42-2.54
3 Si 0.2529 0.6923 0.2529  7 Pd 2.42-2.54
4 Si 0.3077 0.7471 0.7471  7 Pd 2.42-2.54
5 Si 0.6923 0.2529 0.2529  7 Pd 2.42-2.54
6 Si 0.7471 0.3077 0.7471  7 Pd 2.42-2.54
7 Si 0.7471 0.7471 0.3077  7 Pd 2.42-2.54
8 Pd 0.1243 0.5000 0.8757  4 Si 2.42
9 Pd 0.1243 0.8757 0.5000  4 Si 2.42
10 Pd 0.1698 0.4292 0.4292  3 Si 2.44-2.54
11 Pd 0.4292 0.1698 0.4292  3 Si 2.44-2.54
12 Pd 0.4292 0.4292 0.1698  3 Si 2.44-2.54
13 Pd 0.5000 0.1243 0.8757  4 Si 2.42
14 Pd 0.5000 0.8757 0.1243  4 Si 2.42
15 Pd 0.5708 0.5708 0.8302  3 Si 2.44-2.54
16 Pd 0.5708 0.8302 0.5708  3 Si 2.44-2.54
17 Pd 0.8302 0.5708 0.5708  3 Si 2.44-2.54
18 Pd 0.8757 0.1243 0.5000  4 Si 2.42
19 Pd 0.8757 0.5000 0.1243  4 Si 2.42

**Raw total energy**: -5.8689 eV/atom
**Crystal system**: trigonal

The following is a GGA-PBE calculation of NaSr3Ga after structural relaxation, from Alexandria via LeMat-Bulk.

a = 6.2711 Å, b = 6.2711 Å, c = 6.2711 Å
α = 90.00°, β = 90.00°, γ = 90.00°
Closest atoms and distances in Å follow each position.
Fractional positions:
1 Na 0.0000 0.0000 0.0000  12 Sr 4.43
2 Sr 0.0000 0.5000 0.5000  2 Ga 3.14
3 Sr 0.5000 0.0000 0.5000  2 Ga 3.14
4 Sr 0.5000 0.5000 0.0000  2 Ga 3.14
5 Ga 0.5000 0.5000 0.5000  6 Sr 3.14

**Crystal system**: cubic
**E_form**: -0.074 eV/atom

The following is a GGA-PBE calculation of NaMg2Ru after structural relaxation, from Alexandria via LeMat-Bulk.

a = 3.1977 Å, b = 3.1977 Å, c = 8.3217 Å
α = 90.00°, β = 90.00°, γ = 90.00°
Closest atoms and distances in Å follow each position.
Fractional positions:
1 Na 0.0000 0.0000 0.0000  4 Na 3.20, 8 Mg 3.51
2 Mg 0.5000 0.5000 0.3222  4 Ru 2.70, 1 Mg 2.96
3 Mg 0.5000 0.5000 0.6778  4 Ru 2.70, 1 Mg 2.96
4 Ru 0.0000 0.0000 0.5000  8 Mg 2.70

**Crystal system**: tetragonal
**E_form**: 0.104 eV/atom

The following is a GGA-PBE calculation of GaBSe2 after structural relaxation, from Alexandria via LeMat-Bulk.

a = 3.4739 Å, b = 4.8156 Å, c = 6.7938 Å
α = 71.77°, β = 79.14°, γ = 68.99°
Closest atoms and distances in Å follow each position.
Fractional positions:
1 Ga 0.0000 0.0000 0.0000  1 B 2.08
2 B 0.2382 0.5810 0.9227  1 Ga 2.08, 3 Se 2.11-2.16
3 Se 0.3286 0.2044 0.1902  1 B 2.11
4 Se 0.8262 0.5401 0.7386  2 B 2.16

**Raw total energy**: -4.3517 eV/atom
**Crystal system**: triclinic

The following is a GGA-PBE calculation of CrPb after structural relaxation, from Alexandria via LeMat-Bulk.

a = 6.9779 Å, b = 6.9779 Å, c = 6.9779 Å
α = 109.47°, β = 109.47°, γ = 109.47°
Closest atoms and distances in Å follow each position.
Fractional positions:
1 Cr 0.0000 0.0000 0.8046  3 Cr 2.23
2 Cr 0.0000 0.8046 0.0000  3 Cr 2.23
3 Cr 0.1954 0.1954 0.1954  3 Cr 2.23
4 Cr 0.8046 0.0000 0.0000  3 Cr 2.23
5 Pb 0.0000 0.0000 0.4242  4 Cr 2.65-2.82
6 Pb 0.0000 0.4242 0.0000  4 Cr 2.65-2.82
7 Pb 0.4242 0.0000 0.0000  4 Cr 2.65-2.82
8 Pb 0.5758 0.5758 0.5758  4 Cr 2.65-2.82

**Crystal system**: cubic
**E_form**: 0.918 eV/atom

The following is a GGA-PBE calculation of Mn2AgSnRh after structural relaxation, from Alexandria via LeMat-Bulk.

a = 4.9505 Å, b = 4.9505 Å, c = 4.9985 Å
α = 90.00°, β = 90.00°, γ = 90.00°
Closest atoms and distances in Å follow each position.
Fractional positions:
1 Mn 0.0000 0.5000 0.0000  2 Sn 2.48
2 Mn 0.5000 0.0000 0.0000  2 Sn 2.48
3 Ag 0.0000 0.0000 0.5000  2 Sn 2.50
4 Sn 0.0000 0.0000 0.0000  4 Mn 2.48, 2 Ag 2.50
5 Rh 0.5000 0.5000 0.5000  4 Ag 3.50, 8 Mn 3.52

**Crystal system**: tetragonal
**E_form**: 1.333 eV/atom

The following is a GGA-PBE calculation of TlTcPtW2 after structural relaxation, from Alexandria via LeMat-Bulk.

a = 4.8907 Å, b = 4.8907 Å, c = 4.8044 Å
α = 90.00°, β = 90.00°, γ = 90.00°
Closest atoms and distances in Å follow each position.
Fractional positions:
1 Tl 0.0000 0.0000 0.0000  2 Tc 2.40, 4 W 2.45
2 Tc 0.0000 0.0000 0.5000  2 Tl 2.40
3 Pt 0.5000 0.5000 0.5000  8 W 3.43, 4 Tc 3.46
4 W 0.0000 0.5000 0.0000  2 Tl 2.45
5 W 0.5000 0.0000 0.0000  2 Tl 2.45

**Crystal system**: tetragonal
**E_form**: 3.101 eV/atom

The following is a GGA-PBE calculation of PtRhSe after structural relaxation, from Alexandria via LeMat-Bulk.

a = 3.0115 Å, b = 3.0115 Å, c = 6.2184 Å
α = 90.00°, β = 90.00°, γ = 120.00°
Closest atoms and distances in Å follow each position.
Fractional positions:
1 Pt 0.0000 0.0000 0.0000  3 Rh 2.82, 3 Se 2.84, 6 Pt 3.01
2 Rh 0.6667 0.3333 0.3563  3 Se 2.47
3 Se 0.3333 0.6667 0.6390  3 Rh 2.47

**Raw total energy**: -5.5253 eV/atom
**Crystal system**: trigonal

The following is a GGA-PBE calculation of Te2PtAu after structural relaxation, from Alexandria via LeMat-Bulk.

a = 3.2347 Å, b = 3.2347 Å, c = 9.3463 Å
α = 90.00°, β = 90.00°, γ = 102.30°
Closest atoms and distances in Å follow each position.
Fractional positions:
1 Te 0.0000 0.0000 0.0000  2 Pt 2.68
2 Te 0.5000 0.5000 0.3789  4 Au 2.97-3.32, 4 Te 3.23
3 Pt 0.5000 0.5000 0.8132  2 Te 2.68, 2 Au 2.77
4 Au 0.0000 0.0000 0.6108  2 Pt 2.77, 2 Te 2.97

**Raw total energy**: -3.7642 eV/atom
**Crystal system**: orthorhombic

The following is a GGA-PBE calculation of TbHoCdFe after structural relaxation, from Alexandria via LeMat-Bulk.

a = 5.0614 Å, b = 5.0614 Å, c = 5.0614 Å
α = 60.00°, β = 60.00°, γ = 60.00°
Closest atoms and distances in Å follow each position.
Fractional positions:
1 Tb 0.0000 0.0000 0.0000  4 Cd 3.10, 4 Fe 3.10
2 Ho 0.5000 0.5000 0.5000  4 Cd 3.10, 4 Fe 3.10
3 Cd 0.7500 0.7500 0.7500  4 Tb 3.10, 4 Ho 3.10
4 Fe 0.2500 0.2500 0.2500  4 Tb 3.10, 4 Ho 3.10

**Crystal system**: cubic
**E_form**: -0.008 eV/atom

The following is a GGA-PBE calculation of SnMoI2Cl after structural relaxation, from Alexandria via LeMat-Bulk.

a = 5.8012 Å, b = 5.8012 Å, c = 4.9000 Å
α = 90.00°, β = 90.00°, γ = 90.00°
Closest atoms and distances in Å follow each position.
Fractional positions:
1 Sn 0.0000 0.0000 0.0000  8 I 3.80, 4 Cl 4.10
2 Mo 0.5000 0.5000 0.5000  2 Cl 2.45
3 I 0.0000 0.5000 0.5000  2 Mo 2.90
4 I 0.5000 0.0000 0.5000  2 Mo 2.90
5 Cl 0.5000 0.5000 0.0000  2 Mo 2.45

**Raw total energy**: -3.7520 eV/atom
**Crystal system**: tetragonal

The following is a GGA-PBE calculation of CoRe3 after structural relaxation, from Alexandria via LeMat-Bulk.

a = 4.3426 Å, b = 5.4514 Å, c = 4.6876 Å
α = 90.00°, β = 90.00°, γ = 90.00°
Closest atoms and distances in Å follow each position.
Fractional positions:
1 Co 0.2500 0.2500 0.1703  12 Re 2.68-2.73
2 Co 0.7500 0.7500 0.8297  12 Re 2.68-2.73
3 Re 0.2500 0.0019 0.6705  8 Re 2.67-2.75, 4 Co 2.68-2.71
4 Re 0.2500 0.4981 0.6705  8 Re 2.67-2.75, 4 Co 2.68-2.71
5 Re 0.2500 0.7500 0.1668  8 Re 2.67-2.73, 4 Co 2.69-2.73
6 Re 0.7500 0.2500 0.8332  8 Re 2.67-2.73, 4 Co 2.69-2.73
7 Re 0.7500 0.5019 0.3295  8 Re 2.67-2.75, 4 Co 2.68-2.71
8 Re 0.7500 0.9981 0.3295  8 Re 2.67-2.75, 4 Co 2.68-2.71

**Crystal system**: orthorhombic
**E_form**: -0.052 eV/atom

The following is a GGA-PBE calculation of LaTm8Sn6 after structural relaxation, from Alexandria via LeMat-Bulk.

a = 8.2744 Å, b = 8.2744 Å, c = 8.2744 Å
α = 65.81°, β = 65.81°, γ = 65.81°
Closest atoms and distances in Å follow each position.
Fractional positions:
1 La 0.0000 0.0000 0.0000  6 Sn 3.35, 6 Tm 3.60
2 Tm 0.1078 0.7778 0.4342  5 Sn 3.05-3.38
3 Tm 0.2222 0.5658 0.8922  5 Sn 3.05-3.38
4 Tm 0.3328 0.3328 0.3328  6 Sn 3.23-3.24
5 Tm 0.4342 0.1078 0.7778  5 Sn 3.05-3.38
6 Tm 0.5658 0.8922 0.2222  5 Sn 3.05-3.38
7 Tm 0.6672 0.6672 0.6672  6 Sn 3.23-3.24
8 Tm 0.7778 0.4342 0.1078  5 Sn 3.05-3.38
9 Tm 0.8922 0.2222 0.5658  5 Sn 3.05-3.38
10 Sn 0.0678 0.4114 0.7254  7 Tm 3.05-3.38, 1 La 3.35
11 Sn 0.2746 0.9322 0.5886  7 Tm 3.05-3.38, 1 La 3.35
12 Sn 0.4114 0.7254 0.0678  7 Tm 3.05-3.38, 1 La 3.35
13 Sn 0.5886 0.2746 0.9322  7 Tm 3.05-3.38, 1 La 3.35
14 Sn 0.7254 0.0678 0.4114  7 Tm 3.05-3.38, 1 La 3.35
15 Sn 0.9322 0.5886 0.2746  7 Tm 3.05-3.38, 1 La 3.35

**Crystal system**: trigonal
**E_form**: -0.506 eV/atom

The following is a GGA-PBE calculation of CuRuPt2 after structural relaxation, from Alexandria via LeMat-Bulk.

a = 4.7170 Å, b = 4.7170 Å, c = 4.7547 Å
α = 99.12°, β = 99.12°, γ = 33.61°
Closest atoms and distances in Å follow each position.
Fractional positions:
1 Cu 0.0000 0.0000 0.0000  7 Pt 2.64-2.78, 2 Cu 2.73, 3 Ru 2.76-2.79
2 Ru 0.7486 0.7486 0.2696  7 Pt 2.66-2.76, 2 Ru 2.73, 3 Cu 2.76-2.79
3 Pt 0.2489 0.2489 0.7754  3 Cu 2.64-2.71, 4 Ru 2.72-2.76, 5 Pt 2.73-2.82
4 Pt 0.4942 0.4942 0.4878  3 Ru 2.66-2.67, 4 Cu 2.70-2.78, 5 Pt 2.73-2.82

**Crystal system**: monoclinic
**E_form**: -0.011 eV/atom

The following is a GGA-PBE calculation of Ti2GeOs after structural relaxation, from Alexandria via LeMat-Bulk.

a = 5.6753 Å, b = 5.6753 Å, c = 5.6753 Å
α = 103.52°, β = 103.52°, γ = 122.17°
Closest atoms and distances in Å follow each position.
Fractional positions:
1 Ti 0.1024 0.6250 0.9774  2 Os 2.47, 2 Ge 2.69, 2 Ti 2.76
2 Ti 0.3750 0.3524 0.4774  2 Os 2.47, 2 Ge 2.69, 2 Ti 2.76
3 Ti 0.6476 0.1250 0.0226  2 Os 2.47, 2 Ge 2.69, 2 Ti 2.76
4 Ti 0.8750 0.8976 0.5226  2 Os 2.47, 2 Ge 2.69, 2 Ti 2.76
5 Ge 0.2500 0.7500 0.5000  4 Ti 2.69, 2 Os 2.74
6 Ge 0.5000 0.5000 0.0000  4 Ti 2.69, 2 Os 2.74
7 Os 0.0000 0.0000 0.0000  4 Ti 2.47, 2 Ge 2.74
8 Os 0.7500 0.2500 0.5000  4 Ti 2.47, 2 Ge 2.74

**Crystal system**: tetragonal
**E_form**: 0.098 eV/atom

The following is a GGA-PBE calculation of ErCu4Si4 after structural relaxation, from Alexandria via LeMat-Bulk.

a = 5.7471 Å, b = 5.7471 Å, c = 8.1942 Å
α = 90.00°, β = 90.00°, γ = 90.00°
Closest atoms and distances in Å follow each position.
Fractional positions:
1 Er 0.2500 0.7500 0.2500  4 Si 2.93, 8 Cu 3.24
2 Er 0.7500 0.2500 0.7500  4 Si 2.93, 8 Cu 3.24
3 Cu 0.0210 0.2500 0.1656  5 Si 2.38-2.49, 3 Cu 2.60-2.63
4 Cu 0.2500 0.0210 0.6656  5 Si 2.38-2.49, 3 Cu 2.60-2.63
5 Cu 0.2500 0.4790 0.6656  5 Si 2.38-2.49, 3 Cu 2.60-2.63
6 Cu 0.4790 0.2500 0.1656  5 Si 2.38-2.49, 3 Cu 2.60-2.63
7 Cu 0.5210 0.7500 0.8344  5 Si 2.38-2.49, 3 Cu 2.60-2.63
8 Cu 0.7500 0.5210 0.3344  5 Si 2.38-2.49, 3 Cu 2.60-2.63
9 Cu 0.7500 0.9790 0.3344  5 Si 2.38-2.49, 3 Cu 2.60-2.63
10 Cu 0.9790 0.7500 0.8344  5 Si 2.38-2.49, 3 Cu 2.60-2.63
11 Si 0.0396 0.2500 0.4562  5 Cu 2.38-2.49, 1 Si 2.42
12 Si 0.2500 0.0396 0.9562  5 Cu 2.38-2.49, 1 Si 2.42
13 Si 0.2500 0.4604 0.9562  5 Cu 2.38-2.49, 1 Si 2.42
14 Si 0.4604 0.2500 0.4562  5 Cu 2.38-2.49, 1 Si 2.42
15 Si 0.5396 0.7500 0.5438  5 Cu 2.38-2.49, 1 Si 2.42
16 Si 0.7500 0.5396 0.0438  5 Cu 2.38-2.49, 1 Si 2.42
17 Si 0.7500 0.9604 0.0438  5 Cu 2.38-2.49, 1 Si 2.42
18 Si 0.9604 0.7500 0.5438  5 Cu 2.38-2.49, 1 Si 2.42

**Raw total energy**: -4.8664 eV/atom
**Crystal system**: tetragonal

The following is a GGA-PBE calculation of CoCuHg2 after structural relaxation, from Alexandria via LeMat-Bulk.

a = 8.9399 Å, b = 8.9399 Å, c = 8.9399 Å
α = 19.29°, β = 19.29°, γ = 19.29°
Closest atoms and distances in Å follow each position.
Fractional positions:
1 Co 0.0000 0.0000 0.0000  6 Hg 2.77, 6 Co 3.00
2 Cu 0.5000 0.5000 0.5000  6 Hg 2.82, 6 Cu 3.00
3 Hg 0.2511 0.2511 0.2511  3 Co 2.77, 3 Cu 2.82, 6 Hg 3.00
4 Hg 0.7489 0.7489 0.7489  3 Co 2.77, 3 Cu 2.82, 6 Hg 3.00

**Crystal system**: trigonal
**E_form**: 0.429 eV/atom

The following is a GGA-PBE calculation of CePuSiRh after structural relaxation, from Alexandria via LeMat-Bulk.

a = 4.8792 Å, b = 4.8792 Å, c = 4.6110 Å
α = 90.00°, β = 90.00°, γ = 120.00°
Closest atoms and distances in Å follow each position.
Fractional positions:
1 Ce 0.0000 0.0000 0.0000  3 Rh 2.82
2 Pu 0.3333 0.6667 0.5001  3 Si 2.82
3 Si 0.6667 0.3333 0.5030  2 Rh 2.31
4 Rh 0.6667 0.3333 0.0030  2 Si 2.31

**Raw total energy**: -8.6472 eV/atom
**Crystal system**: trigonal

The following is a GGA-PBE calculation of RbTlZn2F6 after structural relaxation, from Alexandria via LeMat-Bulk.

a = 8.1057 Å, b = 8.1057 Å, c = 6.2342 Å
α = 98.80°, β = 98.80°, γ = 73.07°
Closest atoms and distances in Å follow each position.
Fractional positions:
1 Rb 0.1230 0.8770 0.7500  6 F 2.73-2.79
2 Rb 0.8770 0.1230 0.2500  6 F 2.73-2.79
3 Tl 0.3400 0.6600 0.2500  4 F 2.64-2.81
4 Tl 0.6600 0.3400 0.7500  4 F 2.64-2.81
5 Zn 0.1359 0.3476 0.8640  4 F 1.94-2.07
6 Zn 0.3476 0.1359 0.3640  4 F 1.94-2.07
7 Zn 0.6524 0.8641 0.6360  4 F 1.94-2.07
8 Zn 0.8641 0.6524 0.1360  4 F 1.94-2.07
9 F 0.0120 0.7760 0.3273  1 Zn 1.94
10 F 0.0770 0.6030 0.9215  1 Zn 1.97
11 F 0.2240 0.9880 0.1727  1 Zn 1.94
12 F 0.2900 0.3148 0.6168  2 Zn 1.98-2.07
13 F 0.3148 0.2900 0.1168  2 Zn 1.98-2.07
14 F 0.3970 0.9230 0.5785  1 Zn 1.97
15 F 0.6030 0.0770 0.4215  1 Zn 1.97
16 F 0.6852 0.7100 0.8832  2 Zn 1.98-2.07
17 F 0.7100 0.6852 0.3832  2 Zn 1.98-2.07
18 F 0.7760 0.0120 0.8273  1 Zn 1.94
19 F 0.9230 0.3970 0.0785  1 Zn 1.97
20 F 0.9880 0.2240 0.6727  1 Zn 1.94

**Raw total energy**: -3.9854 eV/atom
**Crystal system**: monoclinic

The following is a GGA-PBE calculation of Nd2Dy4Sb3N2 after structural relaxation, from Alexandria via LeMat-Bulk.

a = 13.1852 Å, b = 13.1852 Å, c = 13.1852 Å
α = 159.62°, β = 159.62°, γ = 28.98°
Closest atoms and distances in Å follow each position.
Fractional positions:
1 Nd 0.1935 0.1935 0.0000  1 N 2.44
2 Nd 0.8065 0.8065 0.0000  1 N 2.44
3 Dy 0.0824 0.5824 0.5000  2 N 2.37
4 Dy 0.4176 0.9176 0.5000  2 N 2.37
5 Dy 0.5824 0.0824 0.5000  2 N 2.37
6 Dy 0.9176 0.4176 0.5000  2 N 2.37
7 Sb 0.3239 0.3239 0.0000  5 Nd 3.33, 4 Dy 3.34
8 Sb 0.5000 0.5000 0.0000  8 Dy 3.14
9 Sb 0.6761 0.6761 0.0000  5 Nd 3.33, 4 Dy 3.34
10 N 0.0980 0.0980 0.0000  4 Dy 2.37, 1 Nd 2.44
11 N 0.9020 0.9020 0.0000  4 Dy 2.37, 1 Nd 2.44

**Raw total energy**: -6.3858 eV/atom
**Crystal system**: tetragonal